5
Lattice="-1.780 1.780 6.664 1.780 -1.780 6.664 1.780 1.780 -6.664" Properties=species:S:1:pos:R:3 comment="PBE Li2Zn2S, relaxed" sg="No. 139" e_above_lowest_polymorph_mev_per_atom=157.1 raw_formation_energy_ev_per_atom=-0.08 dft_energy_ev_per_cell=-10.9 pbc="T T T"
Li 1.780 0.000 3.332
Li 0.000 1.780 3.332
Zn 0.000 0.000 1.327
Zn 0.000 0.000 12.000
S 0.000 0.000 6.664

=====

8
Lattice="-3.313 3.313 2.330 3.313 -3.313 2.330 3.313 3.313 -2.330" Properties=species:S:1:pos:R:3 comment="PBE ZnPN2, relaxed" sg="No. 140" e_above_lowest_polymorph_mev_per_atom=156.0 raw_formation_energy_ev_per_atom=0.24 dft_energy_ev_per_cell=-44.7 pbc="T T T"
Zn 0.000 0.000 1.165
Zn 0.000 0.000 3.496
P 3.313 0.000 1.165
P 0.000 3.313 1.165
N 4.173 0.860 0.000
N 0.860 2.453 0.000
N 2.453 0.860 2.330
N -0.860 2.453 2.330

=====

4
Lattice="0.000 3.319 3.319 3.319 0.000 3.319 3.319 3.319 0.000" Properties=species:S:1:pos:R:3 comment="PBE ZrTiCdTc, relaxed" sg="No. 216" dft_energy_ev_per_cell=-28.1 pbc="T T T"
Zr 0.000 0.000 0.000
Ti 3.319 3.319 3.319
Cd 1.659 1.659 1.659
Tc 4.978 4.978 4.978

=====

2
Lattice="2.741 0.000 0.000 -1.371 2.374 0.000 0.000 0.000 4.921" Properties=species:S:1:pos:R:3 comment="PBE TcAg, relaxed" sg="No. 187" e_above_lowest_polymorph_mev_per_atom=391.0 dft_energy_ev_per_cell=-12.1 pbc="T T T"
Tc 0.000 0.000 0.000
Ag 1.371 0.791 2.460

=====

Values of total magnetization, in order: 0.000; 0.000; 0.000; 0.000, all in μB per atom.